# Cs6SeI4 (GGA-PBE, optimized geometry)
# Fermi-level density of states	0.000	states/eV/atom
# calculated density	3.6	g/cm3
# energy relative to the elements, uncorrected	-1.392	eV/atom
data_Cs6SeI4
_chemical_formula_sum 'Cs36 Se6 I24'
_symmetry_space_group_name_H-M 'R -3 c'
_symmetry_Int_Tables_number 167
_symmetry_space_group_name_Hall '-R 3 2"c'
_cell_length_a 15.2472
_cell_length_b 15.2472
_cell_length_c 19.0065
_cell_angle_alpha 90.00
_cell_angle_beta 90.00
_cell_angle_gamma 120.00
loop_
_atom_site_label
_atom_site_fract_x
_atom_site_fract_y
_atom_site_fract_z
_atom_site_occupancy
Cs1 0.0313 0.1943 0.3953 1
Se1 0.0000 0.0000 0.0000 1
I1 0.0000 0.0000 0.2500 1
I2 0.0000 0.3771 0.2500 1